Model A:
This record from Alexandria via LeMat-Bulk describes a geometry-optimized LaY2Ho7 structure. The functional is GGA-PBE.

a b c (Å): 5.5704 9.2945 9.2945
angles (deg): 124.64 90.00 90.00
Last column: nearest neighbours and their distance in Å.
Atoms (fractional coordinates):
Ho  0.5000  0.9365  0.7111  2 Ho 3.04-3.36, 2 Y 3.18-3.37
Ho  0.0000  0.7888  0.2112  2 Y 3.11, 1 La 3.48
Ho  0.5000  0.5000  0.5000  4 Ho 3.36, 2 Y 3.36
Ho  0.5000  0.2889  0.0635  2 Ho 3.04-3.36, 2 Y 3.18-3.37
Ho  0.5000  0.0635  0.2889  2 Ho 3.04-3.36, 2 Y 3.18-3.37
Ho  0.5000  0.7111  0.9365  2 Ho 3.04-3.36, 2 Y 3.18-3.37
Ho  0.0000  0.2112  0.7888  2 Y 3.11, 1 La 3.48
La  0.0000  0.0000  0.0000  10 Ho 3.48-3.68
Y  0.5000  0.2956  0.7044  7 Ho 3.11-3.37
Y  0.5000  0.7044  0.2956  7 Ho 3.11-3.37

Calculated values
Spin magnetization: 0.0 μB/cell
DOS(E_F): 15.26 states/eV/f.u.

Model B:
This record from Alexandria via LeMat-Bulk describes a geometry-optimized LaY2Ho7 structure. The functional is GGA-PBE.

a b c (Å): 6.1574 7.9626 11.2561
angles (deg): 135.06 56.76 121.10
Last column: nearest neighbours and their distance in Å.
Atoms (fractional coordinates):
Ho  0.5003  0.6984  0.7993  2 Y 3.54-3.57, 8 Ho 3.55-3.57, 2 La 3.56
Ho  0.4997  0.3016  0.2007  2 Y 3.54-3.57, 8 Ho 3.55-3.57, 2 La 3.56
Ho  0.0000  0.6014  0.4006  4 Y 3.54-3.57, 7 Ho 3.54-3.57, 1 La 3.56
Ho  0.5000  0.5000  0.0000  8 Ho 3.55-3.56, 2 La 3.56, 2 Y 3.56
Ho  0.0000  0.3986  0.5994  4 Y 3.54-3.57, 7 Ho 3.54-3.57, 1 La 3.56
Ho  0.9999  0.2010  0.7993  3 Y 3.54-3.57, 8 Ho 3.54-3.57, 1 La 3.58
Ho  0.0001  0.7990  0.2007  3 Y 3.54-3.57, 8 Ho 3.54-3.57, 1 La 3.58
Y  0.4976  0.1005  0.4014  10 Ho 3.54-3.57, 1 Y 3.55, 1 La 3.57
Y  0.5024  0.8995  0.5986  10 Ho 3.54-3.57, 1 Y 3.55, 1 La 3.57
La  0.0000  0.0000  0.0000  10 Ho 3.56-3.58, 2 Y 3.57

Calculated values
Spin magnetization: 0.0 μB/cell
DOS(E_F): 15.00 states/eV/f.u.

Pick model B: it beats the second-best structure by 682 meV per atom.

Model A:
This record from Alexandria via LeMat-Bulk describes a geometry-optimized La2YHo structure. The functional is GGA-PBE.

a b c (Å): 3.6615 3.6615 11.9110
angles (deg): 81.16 81.16 60.00
Last column: nearest neighbours and their distance in Å.
Atoms (fractional coordinates):
Ho  0.0000  0.0000  0.0000  6 La 3.59, 6 Ho 3.66
Y  0.5000  0.5000  0.5000  6 La 3.63, 6 Y 3.66
La  0.2507  0.2507  0.2479  3 Ho 3.59, 3 Y 3.63, 6 La 3.66
La  0.7493  0.7493  0.7521  3 Ho 3.59, 3 Y 3.63, 6 La 3.66

Calculated values
Spin magnetization: 0.0 μB/cell
DOS(E_F): 5.21 states/eV/f.u.

Model B:
This record from Alexandria via LeMat-Bulk describes a geometry-optimized La2YHo structure. The functional is GGA-PBE.

a b c (Å): 3.7213 6.2056 6.2056
angles (deg): 106.62 90.00 90.00
Last column: nearest neighbours and their distance in Å.
Atoms (fractional coordinates):
La  0.0000  0.5000  0.0000  4 Y 3.62, 4 Ho 3.62, 4 La 3.71-3.72
La  0.0000  0.0000  0.5000  4 Ho 3.62, 4 Y 3.62, 4 La 3.71-3.72
Y  0.5000  0.5000  0.5000  8 La 3.62, 2 Ho 3.71, 2 Y 3.72
Ho  0.5000  0.0000  0.0000  8 La 3.62, 2 Y 3.71, 2 Ho 3.72

Calculated values
Spin magnetization: 0.0 μB/cell
DOS(E_F): 6.91 states/eV/f.u.

Model C:
This record from Alexandria via LeMat-Bulk describes a geometry-optimized La2YHo structure. The functional is GGA-PBE.

a b c (Å): 5.8113 5.8113 5.8113
angles (deg): 60.00 60.00 60.00
Last column: nearest neighbours and their distance in Å.
Atoms (fractional coordinates):
La  0.2500  0.2500  0.2500  4 Ho 3.56, 4 Y 3.56
La  0.7500  0.7500  0.7500  4 Y 3.56, 4 Ho 3.56
Y  0.5000  0.5000  0.5000  8 La 3.56
Ho  0.0000  0.0000  0.0000  8 La 3.56

Calculated values
Spin magnetization: 0.0 μB/cell
DOS(E_F): 7.00 states/eV/f.u.

Pick model A: it beats the second-best structure by 15 meV per atom.

Model A:
This record from Alexandria via LeMat-Bulk describes a geometry-optimized La4YHo5 structure. The functional is GGA-PBE.

a b c (Å): 6.0437 8.1835 8.1835
angles (deg): 82.16 68.33 68.33
Last column: nearest neighbours and their distance in Å.
Atoms (fractional coordinates):
Y  0.2069  0.0000  0.0000  2 Ho 2.89-3.15
Ho  0.7538  0.9999  0.3777  3 Ho 3.27-3.55, 1 Y 3.29, 2 La 3.35
Ho  0.1315  0.6223  0.9999  3 Ho 3.27-3.55, 1 Y 3.29, 2 La 3.35
Ho  0.1314  0.0001  0.6223  3 Ho 3.27-3.55, 1 Y 3.29, 2 La 3.35
Ho  0.7537  0.3777  0.0001  3 Ho 3.27-3.55, 1 Y 3.29, 2 La 3.35
Ho  0.6856  0.0000  0.0000  2 Y 2.89-3.15
La  0.4620  0.3235  0.6763  3 Ho 3.35-3.73
La  0.1383  0.3237  0.3235  3 Ho 3.35-3.73
La  0.7855  0.6763  0.6765  3 Ho 3.35-3.73
La  0.4618  0.6765  0.3237  3 Ho 3.35-3.73

Calculated values
Spin magnetization: 0.0 μB/cell
DOS(E_F): 14.01 states/eV/f.u.

Model B:
This record from Alexandria via LeMat-Bulk describes a geometry-optimized La4YHo5 structure. The functional is GGA-PBE.

a b c (Å): 3.5424 11.4807 8.7722
angles (deg): 90.21 101.65 90.00
Last column: nearest neighbours and their distance in Å.
Atoms (fractional coordinates):
La  0.9663  0.2514  0.9325  4 Ho 3.33-3.41, 2 Y 3.44, 2 La 3.54
La  0.6629  0.2499  0.3259  4 La 3.54-3.82, 6 Ho 3.65-3.86
La  0.0337  0.7486  0.0675  4 Ho 3.33-3.41, 2 Y 3.44, 2 La 3.54
La  0.3371  0.7501  0.6741  4 La 3.54-3.82, 6 Ho 3.65-3.86
Ho  0.1732  0.9511  0.3465  2 La 3.33-3.65, 4 Ho 3.37-3.54, 2 Y 3.51
Ho  0.5000  0.5000  0.0000  4 La 3.41, 6 Ho 3.50-3.54
Ho  0.8274  0.4528  0.6548  2 La 3.33-3.66, 6 Ho 3.38-3.54
Ho  0.1726  0.5472  0.3452  2 La 3.33-3.66, 6 Ho 3.38-3.54
Ho  0.8268  0.0489  0.6535  2 La 3.33-3.65, 4 Ho 3.37-3.54, 2 Y 3.51
Y  0.5000  0.0000  0.0000  4 La 3.44, 4 Ho 3.51, 2 Y 3.54

Calculated values
Spin magnetization: 0.0 μB/cell
DOS(E_F): 14.70 states/eV/f.u.

Pick model B: it beats the second-best structure by 38 meV per atom.

Model A:
This record from Alexandria via LeMat-Bulk describes a geometry-optimized La2Y6Ho3 structure. The functional is GGA-PBE.

a b c (Å): 6.1430 6.1475 11.8360
angles (deg): 85.01 79.98 60.02
Last column: nearest neighbours and their distance in Å.
Atoms (fractional coordinates):
La  0.1671  0.6658  0.5000  3 La 3.54-3.56, 6 Y 3.61-3.62
La  0.8329  0.3342  0.5000  3 La 3.54-3.56, 6 Y 3.61-3.62
Ho  0.0000  0.0000  0.0000  6 Y 3.51, 6 Ho 3.54-3.57
Ho  0.6651  0.6698  0.0000  6 Y 3.50-3.52, 6 Ho 3.52-3.57
Ho  0.3349  0.3302  0.0000  6 Y 3.50-3.52, 6 Ho 3.52-3.57
Y  0.0820  0.3330  0.7555  3 Ho 3.51-3.52, 6 Y 3.54-3.55, 2 La 3.61-3.62
Y  0.7480  0.0000  0.7555  3 Ho 3.50-3.51, 6 Y 3.54-3.55, 2 La 3.62
Y  0.2520  0.0000  0.2445  3 Ho 3.50-3.51, 6 Y 3.54-3.55, 2 La 3.62
Y  0.5850  0.3330  0.2445  3 Ho 3.51-3.52, 6 Y 3.54-3.55, 2 La 3.61-3.62
Y  0.9180  0.6670  0.2445  3 Ho 3.51-3.52, 6 Y 3.54-3.55, 2 La 3.61-3.62
Y  0.4150  0.6670  0.7555  3 Ho 3.51-3.52, 6 Y 3.54-3.55, 2 La 3.61-3.62

Calculated values
Spin magnetization: 0.0 μB/cell
DOS(E_F): 19.10 states/eV/f.u.

Model B:
This record from Alexandria via LeMat-Bulk describes a geometry-optimized La2Y6Ho3 structure. The functional is GGA-PBE.

a b c (Å): 4.7560 4.7560 17.2636
angles (deg): 97.92 97.92 90.00
Last column: nearest neighbours and their distance in Å.
Atoms (fractional coordinates):
Y  0.3012  0.3012  0.6023  5 Ho 3.36-3.42, 4 Y 3.48
Y  0.3763  0.8763  0.7526  6 Y 3.36-3.48, 2 Ho 3.51, 2 La 3.56
Y  0.6988  0.6988  0.3977  5 Ho 3.36-3.42, 4 Y 3.48
Y  0.1237  0.6237  0.2474  6 Y 3.36-3.48, 2 Ho 3.51, 2 La 3.56
Y  0.8763  0.3763  0.7526  6 Y 3.36-3.48, 2 Ho 3.51, 2 La 3.56
Y  0.6237  0.1237  0.2474  6 Y 3.36-3.48, 2 Ho 3.51, 2 La 3.56
Ho  0.7999  0.7999  0.5998  9 Y 3.36-3.51
Ho  0.0000  0.0000  0.0000  8 La 3.70
Ho  0.2001  0.2001  0.4002  9 Y 3.36-3.51
La  0.4546  0.4546  0.9093  1 La 3.07
La  0.5454  0.5454  0.0907  1 La 3.07

Calculated values
Spin magnetization: 0.0 μB/cell
DOS(E_F): 18.82 states/eV/f.u.

Pick model A: it beats the second-best structure by 95 meV per atom.